No. 1
## CoIrRh (PBE-GGA)

Data for crystalline CoIrRh at its relaxed geometry.

Cell: 7.050 6.801 2.668 Å, 84.20 73.69 22.12°
Atoms (fractional coordinates):
Co (0.000, 0.000, 0.000)
Ir (0.339, 0.339, 0.661)
Rh (0.661, 0.661, 0.339)

Results
D(E_F) in states/eV/f.u.: 5.1
ΔH_f (0 K) in meV/atom: 263
Size of the total moment in μB/f.u.: 2.679
E above lowest polymorph in meV/atom: 228
Crystal system: orthorhombic
Total energy in eV/cell: -22.530


No. 2
## TlCo16Sb48 (PBE-GGA)

Data for crystalline TlCo16Sb48 at its relaxed geometry.

Cell: 7.914 7.914 25.832 Å, 90.00 90.00 70.55°
Atoms (fractional coordinates):
Co (0.750, 0.250, 0.126)
Co (0.750, 0.250, 0.625)
Co (0.500, 0.000, 0.500)
Co (0.000, 0.500, 0.000)
Co (0.500, 0.000, 0.251)
Co (0.000, 0.500, 0.749)
Co (0.750, 0.250, 0.874)
Co (0.250, 0.750, 0.375)
Co (0.000, 0.500, 0.500)
Co (0.250, 0.750, 0.874)
Co (0.500, 0.000, 0.749)
Co (0.000, 0.500, 0.251)
Co (0.750, 0.250, 0.375)
Co (0.250, 0.750, 0.625)
Co (0.500, 0.000, 0.000)
Co (0.250, 0.750, 0.126)
Sb (0.331, 0.008, 0.915)
Sb (0.585, 0.585, 0.872)
Sb (0.992, 0.669, 0.085)
Sb (0.413, 0.413, 0.626)
Sb (0.507, 0.826, 0.666)
Sb (0.174, 0.493, 0.334)
Sb (0.246, 0.914, 0.789)
Sb (0.176, 0.495, 0.832)
Sb (0.505, 0.824, 0.168)
Sb (0.246, 0.246, 0.543)
Sb (0.250, 0.250, 0.045)
Sb (0.086, 0.754, 0.211)
Sb (0.493, 0.174, 0.334)
Sb (0.416, 0.745, 0.041)
Sb (0.256, 0.256, 0.208)
Sb (0.415, 0.415, 0.128)
Sb (0.087, 0.087, 0.623)
Sb (0.413, 0.746, 0.540)
Sb (0.495, 0.176, 0.832)
Sb (0.326, 0.007, 0.417)
Sb (0.007, 0.326, 0.417)
Sb (0.824, 0.505, 0.168)
Sb (0.584, 0.255, 0.959)
Sb (0.911, 0.911, 0.874)
Sb (0.826, 0.507, 0.666)
Sb (0.747, 0.747, 0.294)
Sb (0.669, 0.992, 0.085)
Sb (0.008, 0.331, 0.915)
Sb (0.587, 0.254, 0.460)
Sb (0.754, 0.754, 0.457)
Sb (0.754, 0.086, 0.211)
Sb (0.745, 0.416, 0.041)
Sb (0.246, 0.913, 0.291)
Sb (0.754, 0.087, 0.709)
Sb (0.254, 0.587, 0.460)
Sb (0.674, 0.993, 0.583)
Sb (0.255, 0.584, 0.959)
Sb (0.089, 0.089, 0.126)
Sb (0.746, 0.413, 0.540)
Sb (0.253, 0.253, 0.706)
Sb (0.750, 0.750, 0.955)
Sb (0.087, 0.754, 0.709)
Sb (0.914, 0.246, 0.789)
Sb (0.913, 0.246, 0.291)
Sb (0.993, 0.674, 0.583)
Sb (0.587, 0.587, 0.374)
Sb (0.913, 0.913, 0.377)
Sb (0.744, 0.744, 0.792)
Tl (0.000, 0.000, 0.000)

Results
D(E_F) in states/eV/f.u.: 8.8
Size of the total moment in μB/f.u.: 0.000
Uncorrected formation energy in eV per atom: -0.180
Crystal system: monoclinic
Total energy in eV/cell: -325.609


What did the first record say?
## CoIrRh (PBE-GGA)

Data for crystalline CoIrRh at its relaxed geometry.

Cell: 7.050 6.801 2.668 Å, 84.20 73.69 22.12°
Atoms (fractional coordinates):
Co (0.000, 0.000, 0.000)
Ir (0.339, 0.339, 0.661)
Rh (0.661, 0.661, 0.339)

Results
D(E_F) in states/eV/f.u.: 5.1
ΔH_f (0 K) in meV/atom: 263
Size of the total moment in μB/f.u.: 2.679
E above lowest polymorph in meV/atom: 228
Crystal system: orthorhombic
Total energy in eV/cell: -22.530


> Which value of total energy does entry 1 give?

-22.530 eV/cell


> The highest total energy belongs to which entry?

CoIrRh